{
  "formula": "GaOsRh6",
  "functional": "PBE-GGA",
  "state": "optimized geometry",
  "magnetic_moment_mub_per_atom": 0.000,
  "spacegroup": "P4/mmm (123)",
  "ef_mev_per_atom": -160,
  "density_g_cm3": 12.83,
  "lattice": [[3.840, 0.000, 0.000], [0.000, 3.840, 0.000], [0.000, 0.000, 7.702]],
  "species": ["Rh", "Rh", "Rh", "Rh", "Rh", "Ga", "Os", "Rh"],
  "frac_coords": [[0.500, 0.500, 0.500], [0.500, 0.500, 0.000], [0.500, 0.000, 0.744], [0.500, 0.000, 0.256], [0.000, 0.500, 0.256], [0.000, 0.000, 0.000], [0.000, 0.000, 0.500], [0.000, 0.500, 0.744]]
}


{
  "formula": "Ga6OsRh",
  "functional": "PBE-GGA",
  "state": "optimized geometry",
  "magnetic_moment_mub_per_atom": 0.000,
  "spacegroup": "C2/m (12)",
  "ef_mev_per_atom": -1,
  "density_g_cm3": 7.42,
  "lattice": [[5.277, 0.247, -0.029], [-1.734, 4.991, -0.029], [-0.681, -1.007, 5.961]],
  "species": ["Rh", "Ga", "Ga", "Ga", "Ga", "Os", "Ga", "Ga"],
  "frac_coords": [[0.000, 0.000, 0.000], [0.551, 0.919, 0.762], [0.240, 0.240, 0.739], [0.449, 0.081, 0.238], [0.919, 0.551, 0.762], [0.500, 0.500, 0.500], [0.081, 0.449, 0.238], [0.760, 0.760, 0.261]]
}


{
  "formula": "GaOsRh2",
  "functional": "PBE-GGA",
  "state": "optimized geometry",
  "magnetic_moment_mub_per_atom": 0.000,
  "spacegroup": "I-42d (122)",
  "ef_mev_per_atom": 388,
  "density_g_cm3": 12.30,
  "lattice": [[3.795, 0.000, 0.000], [0.000, 3.795, 0.000], [1.897, 1.897, 8.733]],
  "species": ["Rh", "Rh", "Ga", "Os", "Os", "Ga", "Rh", "Rh"],
  "frac_coords": [[0.123, 0.625, 0.250], [0.627, 0.125, 0.250], [0.250, 0.750, 0.500], [0.750, 0.250, 0.500], [0.000, 0.000, 0.000], [0.500, 0.500, 0.000], [0.875, 0.877, 0.750], [0.375, 0.373, 0.750]]
}


{
  "formula": "GaOsRh2",
  "functional": "PBE-GGA",
  "state": "optimized geometry",
  "magnetic_moment_mub_per_atom": 0.000,
  "spacegroup": "P4/mmm (123)",
  "ef_mev_per_atom": -206,
  "density_g_cm3": 13.62,
  "lattice": [[2.756, 0.000, 0.000], [0.000, 2.756, 0.000], [0.000, 0.000, 7.478]],
  "species": ["Rh", "Ga", "Os", "Rh"],
  "frac_coords": [[0.000, 0.000, 0.250], [0.500, 0.500, 0.000], [0.500, 0.500, 0.500], [0.000, 0.000, 0.750]]
}


{
  "formula": "Ga2OsRh2",
  "functional": "PBE-GGA",
  "state": "optimized geometry",
  "magnetic_moment_mub_per_atom": 0.000,
  "spacegroup": "P4/mbm (127)",
  "ef_mev_per_atom": -156,
  "density_g_cm3": 12.39,
  "lattice": [[-4.774, -3.376, -4.086], [5.092, -1.393, -4.798], [0.582, -2.423, 1.322]],
  "species": ["Os", "Rh", "Ga", "Rh", "Rh", "Ga", "Ga", "Os", "Ga", "Rh"],
  "frac_coords": [[0.000, 0.000, 0.000], [0.338, 0.162, 0.500], [0.362, 0.862, 0.000], [0.838, 0.338, 0.500], [0.662, 0.838, 0.500], [0.138, 0.362, 0.000], [0.862, 0.638, 0.000], [0.500, 0.500, 0.000], [0.638, 0.138, 0.000], [0.162, 0.662, 0.500]]
}


{
  "formula": "GaOsRh3",
  "functional": "PBE-GGA",
  "state": "optimized geometry",
  "magnetic_moment_mub_per_atom": 0.000,
  "spacegroup": "Pm-3m (221)",
  "ef_mev_per_atom": 1180,
  "density_g_cm3": 8.96,
  "lattice": [[4.723, 0.000, 0.000], [0.000, 4.723, 0.000], [0.000, 0.000, 4.723]],
  "species": ["Ga", "Rh", "Os", "Rh", "Rh"],
  "frac_coords": [[0.500, 0.500, 0.500], [0.500, 0.000, 0.000], [0.000, 0.000, 0.000], [0.000, 0.500, 0.000], [0.000, 0.000, 0.500]]
}


{
  "formula": "GaOs2RhSe",
  "functional": "PBE-GGA",
  "state": "optimized geometry",
  "magnetic_moment_mub_per_atom": 0.000,
  "spacegroup": "P4/mmm (123)",
  "density_g_cm3": 9.82,
  "lattice": [[-3.434, 2.820, -1.661], [-2.809, -1.297, 3.605], [1.687, 3.588, 2.605]],
  "species": ["Se", "Os", "Os", "Rh", "Ga"],
  "frac_coords": [[0.000, 0.500, 0.000], [0.500, 0.000, 0.000], [0.000, 0.000, 0.500], [0.000, 0.000, 0.000], [0.500, 0.500, 0.500]]
}


{
  "formula": "TaGaOsRh",
  "functional": "PBE-GGA",
  "state": "optimized geometry",
  "magnetic_moment_mub_per_atom": 0.000,
  "spacegroup": "I-4m2 (119)",
  "ef_mev_per_atom": -451,
  "density_g_cm3": 14.84,
  "lattice": [[4.186, 0.000, 0.000], [0.000, 4.186, 0.000], [-2.093, -2.093, 3.472]],
  "species": ["Os", "Rh", "Ta", "Ga"],
  "frac_coords": [[0.250, 0.750, 0.500], [0.750, 0.250, 0.500], [0.000, 0.000, 0.000], [0.500, 0.500, 0.000]]
}


| no. | uncorrected energy (eV per atom) |
| --- | --- |
| 1 | -7.46 |
| 2 | -4.59 |
| 3 | -6.85 |
| 4 | -7.45 |
| 5 | -6.55 |
| 6 | -6.08 |
| 7 | -5.45 |
| 8 | -8.82 |